Entry 1:
VASP calculation (PBE) on a relaxed structure of NaPuCl6.

crystal system = cubic
spin magnetization = 3.0 μB/cell
raw formation energy = -34.1 kcal/mol of atoms

a = 7.612 Å, b = 7.612 Å, c = 7.612 Å
α = 60.00°, β = 60.00°, γ = 60.00°
Last column: magnetic moment on the atom in μB.
Fractional coordinates of all 8 atoms:
Na1 0.500 0.500 0.500  0.00
Pu1 0.000 0.000 0.000  3.69
Cl1 0.766 0.766 0.234  -0.10
Cl2 0.766 0.234 0.234  -0.10
Cl3 0.234 0.766 0.766  -0.10
Cl4 0.234 0.234 0.766  -0.10
Cl5 0.234 0.766 0.234  -0.10
Cl6 0.766 0.234 0.766  -0.10

=====

Entry 2:
VASP calculation (PBE) on a relaxed structure of NaPu5Cl12.

crystal system = monoclinic
spin magnetization = 29.0 μB/cell
raw formation energy = -42.0 kcal/mol of atoms

a = 7.175 Å, b = 7.193 Å, c = 13.102 Å
α = 90.12°, β = 90.23°, γ = 60.08°
Last column: magnetic moment on the atom in μB.
Fractional coordinates of all 18 atoms:
Na1 0.000 0.000 0.000  0.00
Pu1 0.500 0.000 0.500  5.69
Pu2 0.167 0.667 0.500  5.70
Pu3 0.833 0.333 0.500  5.70
Pu4 0.667 0.667 0.000  5.48
Pu5 0.333 0.333 0.000  5.48
Cl1 0.833 0.000 0.385  -0.05
Cl2 0.167 0.000 0.615  -0.05
Cl3 0.659 0.000 0.888  -0.03
Cl4 0.341 0.000 0.112  -0.03
Cl5 0.339 0.659 0.888  -0.03
Cl6 0.001 0.659 0.112  -0.03
Cl7 0.999 0.341 0.888  -0.03
Cl8 0.661 0.341 0.112  -0.03
Cl9 0.500 0.333 0.615  -0.05
Cl10 0.834 0.667 0.615  -0.05
Cl11 0.166 0.333 0.385  -0.05
Cl12 0.500 0.667 0.385  -0.05

=====

Entry 3:
VASP calculation (PBE) on a relaxed structure of NaPuCl5.

crystal system = monoclinic
spin magnetization = 8.0 μB/cell
raw formation energy = -38.7 kcal/mol of atoms

a = 7.162 Å, b = 7.162 Å, c = 10.363 Å
α = 68.82°, β = 68.82°, γ = 70.01°
Last column: magnetic moment on the atom in μB.
Fractional coordinates of all 14 atoms:
Na1 0.524 0.476 0.250  0.00
Na2 0.476 0.524 0.750  0.00
Pu1 0.000 0.000 0.000  4.37
Pu2 0.000 0.000 0.500  4.37
Cl1 0.843 0.690 0.136  -0.08
Cl2 0.236 0.646 0.473  -0.07
Cl3 0.690 0.843 0.636  -0.08
Cl4 0.898 0.102 0.250  -0.05
Cl5 0.354 0.764 0.027  -0.07
Cl6 0.646 0.236 0.973  -0.07
Cl7 0.102 0.898 0.750  -0.05
Cl8 0.310 0.157 0.364  -0.08
Cl9 0.764 0.354 0.527  -0.07
Cl10 0.157 0.310 0.864  -0.08

=====

Entry 4:
VASP calculation (PBE) on a relaxed structure of NaPu3Cl8.

crystal system = monoclinic
spin magnetization = 17.0 μB/cell
raw formation energy = -42.8 kcal/mol of atoms

a = 8.442 Å, b = 8.440 Å, c = 7.896 Å
α = 122.49°, β = 90.00°, γ = 120.01°
Last column: magnetic moment on the atom in μB.
Fractional coordinates of all 12 atoms:
Na1 0.000 0.000 0.000  0.00
Pu1 0.500 0.000 0.000  5.55
Pu2 0.500 0.500 0.000  5.55
Pu3 0.000 0.500 0.000  5.55
Cl1 0.254 0.508 0.764  -0.05
Cl2 0.746 0.492 0.236  -0.05
Cl3 0.262 0.016 0.771  -0.03
Cl4 0.754 0.016 0.771  -0.03
Cl5 0.754 0.508 0.771  -0.03
Cl6 0.246 0.492 0.229  -0.03
Cl7 0.246 0.984 0.229  -0.03
Cl8 0.738 0.984 0.229  -0.03

=====

Entry 5:
VASP calculation (PBE) on a relaxed structure of Na5Pu3Cl12.

crystal system = cubic
spin magnetization = 68.0 μB/cell
raw formation energy = -40.8 kcal/mol of atoms

a = 14.150 Å, b = 14.150 Å, c = 14.150 Å
α = 109.47°, β = 109.47°, γ = 109.47°
Last column: magnetic moment on the atom in μB.
Fractional coordinates of all 80 atoms:
Pu1 0.750 0.375 0.125  5.60
Pu2 0.875 0.750 0.125  5.60
Pu3 0.375 0.750 0.625  5.60
Pu4 0.250 0.125 0.375  5.60
Pu5 0.875 0.125 0.250  5.60
Pu6 0.375 0.625 0.250  5.60
Pu7 0.625 0.375 0.750  5.60
Pu8 0.125 0.875 0.750  5.60
Pu9 0.750 0.875 0.625  5.60
Pu10 0.625 0.250 0.375  5.60
Pu11 0.125 0.250 0.875  5.60
Pu12 0.250 0.625 0.875  5.60
Na1 0.125 0.375 0.250  0.00
Na2 0.000 0.500 0.000  0.00
Na3 0.000 0.000 0.000  0.00
Na4 0.375 0.250 0.125  0.00
Na5 0.500 0.000 0.500  0.00
Na6 0.500 0.500 0.000  0.00
Na7 0.125 0.750 0.375  0.00
Na8 0.750 0.125 0.875  0.00
Na9 0.750 0.625 0.375  0.00
Na10 0.375 0.125 0.750  0.00
Na11 0.625 0.875 0.250  0.00
Na12 0.500 0.500 0.500  0.00
Na13 0.500 0.000 0.000  0.00
Na14 0.000 0.000 0.500  0.00
Na15 0.250 0.375 0.625  0.00
Na16 0.250 0.875 0.125  0.00
Na17 0.000 0.500 0.500  0.00
Na18 0.875 0.250 0.625  0.00
Na19 0.625 0.750 0.875  0.00
Na20 0.875 0.625 0.750  0.00
Cl1 0.724 0.133 0.049  -0.02
Cl2 0.326 0.549 0.416  -0.02
Cl3 0.951 0.367 0.276  -0.02
Cl4 0.549 0.224 0.133  -0.02
Cl5 0.591 0.724 0.674  -0.02
Cl6 0.951 0.584 0.174  -0.02
Cl7 0.326 0.776 0.409  -0.02
Cl8 0.084 0.909 0.133  -0.02
Cl9 0.584 0.951 0.674  -0.02
Cl10 0.724 0.591 0.174  -0.02
Cl11 0.776 0.451 0.367  -0.02
Cl12 0.826 0.916 0.049  -0.02
Cl13 0.133 0.724 0.549  -0.02
Cl14 0.367 0.416 0.091  -0.02
Cl15 0.091 0.916 0.367  -0.02
Cl16 0.409 0.133 0.584  -0.02
Cl17 0.091 0.174 0.224  -0.02
Cl18 0.451 0.674 0.084  -0.02
Cl19 0.826 0.909 0.276  -0.02
Cl20 0.133 0.409 0.084  -0.02
Cl21 0.367 0.951 0.776  -0.02
Cl22 0.584 0.633 0.409  -0.02
Cl23 0.916 0.826 0.549  -0.02
Cl24 0.776 0.326 0.909  -0.02
Cl25 0.416 0.367 0.591  -0.02
Cl26 0.084 0.174 0.451  -0.02
Cl27 0.224 0.674 0.091  -0.02
Cl28 0.174 0.091 0.724  -0.02
Cl29 0.633 0.049 0.224  -0.02
Cl30 0.867 0.591 0.916  -0.02
Cl31 0.549 0.326 0.916  -0.02
Cl32 0.591 0.867 0.416  -0.02
Cl33 0.909 0.826 0.776  -0.02
Cl34 0.909 0.084 0.633  -0.02
Cl35 0.867 0.276 0.451  -0.02
Cl36 0.174 0.084 0.951  -0.02
Cl37 0.633 0.584 0.909  -0.02
Cl38 0.416 0.049 0.326  -0.02
Cl39 0.276 0.409 0.826  -0.02
Cl40 0.224 0.549 0.633  -0.02
Cl41 0.916 0.091 0.867  -0.02
Cl42 0.674 0.224 0.591  -0.02
Cl43 0.451 0.776 0.867  -0.02
Cl44 0.049 0.416 0.826  -0.02
Cl45 0.409 0.276 0.326  -0.02
Cl46 0.049 0.633 0.724  -0.02
Cl47 0.674 0.451 0.584  -0.02
Cl48 0.276 0.867 0.951  -0.02

=====

Entry 6:
VASP calculation (PBE) on a relaxed structure of Na2Pu3Cl8.

crystal system = monoclinic
spin magnetization = 6.4 μB/cell
raw formation energy = -39.6 kcal/mol of atoms

a = 7.455 Å, b = 8.033 Å, c = 8.033 Å
α = 56.38°, β = 79.69°, γ = 79.69°
Last column: magnetic moment on the atom in μB.
Fractional coordinates of all 13 atoms:
Na1 0.400 0.720 0.720  0.00
Na2 0.600 0.280 0.280  0.00
Pu1 0.500 0.000 0.000  -5.58
Pu2 0.000 0.749 0.251  5.71
Pu3 0.000 0.251 0.749  5.71
Cl1 0.869 0.383 0.383  -0.03
Cl2 0.131 0.617 0.617  -0.03
Cl3 0.852 0.883 0.883  -0.01
Cl4 0.148 0.117 0.117  -0.01
Cl5 0.640 0.363 0.881  0.00
Cl6 0.640 0.881 0.363  0.00
Cl7 0.360 0.119 0.637  0.00
Cl8 0.360 0.637 0.119  0.00